(1)
Sm2TcNi3P4 | GGA-PBE | relaxed

## Properties
E: -6.83 eV per atom
Calculated volume: 152.4 Å³/cell
Space group: P-4m2
Formation energy from the elements: -9.542 eV per formula unit

extended XYZ file:
```
10
Lattice="4.031 0.000 0.000 0.000 4.031 0.000 0.000 0.000 9.384" Properties=species:S:1:pos:R:3 pbc="T T T"
Sm 0.000 2.015 2.215
Sm 2.015 0.000 7.169
Tc 0.000 0.000 4.692
Ni 0.000 2.015 8.315
Ni 2.015 0.000 1.069
Ni 2.015 2.015 4.692
P 0.000 0.000 0.000
P 0.000 2.015 5.981
P 2.015 0.000 3.403
P 2.015 2.015 0.000
```

=====

(2)
LiV2PI | GGA-PBE | relaxed

## Properties
E: -4.17 eV per atom
Calculated volume: 101.0 Å³/cell
Space group: P4/mmm
Formation energy without anion corrections: 1.249 eV per atom

extended XYZ file:
```
5
Lattice="4.841 0.000 0.000 0.000 4.841 0.000 0.000 0.000 4.311" Properties=species:S:1:pos:R:3 pbc="T T T"
Li 0.000 0.000 0.000
V 0.000 2.421 0.000
V 2.421 0.000 0.000
P 2.421 2.421 2.156
I 0.000 0.000 2.156
```

=====

(3)
HfTiBe2 | GGA-PBE | relaxed

## Properties
E: -6.44 eV per atom
Calculated volume: 55.6 Å³/cell
Space group: P4/mmm
Relative energy among the computed polymorphs: 0 kJ/mol of formula units
Formation energy from the elements: -0.449 eV per formula unit

extended XYZ file:
```
4
Lattice="3.039 0.000 0.000 0.000 3.039 0.000 0.000 0.000 6.023" Properties=species:S:1:pos:R:3 pbc="T T T"
Hf 0.000 0.000 0.000
Ti 0.000 0.000 3.011
Be 1.520 1.520 1.648
Be 1.520 1.520 4.375
```

=====

(4)
Y3HgN | GGA-PBE | relaxed

## Properties
E: -6.45 eV per atom
Calculated volume: 233.2 Å³/cell
Space group: P-1
Formation energy without anion corrections: -0.842 eV per atom

extended XYZ file:
```
10
Lattice="6.013 0.000 0.000 1.642 6.605 0.000 1.631 3.049 5.872" Properties=species:S:1:pos:R:3 pbc="T T T"
Y 1.497 1.567 0.949
Y 3.143 3.000 3.945
Y 3.155 4.876 0.847
Y 6.132 4.779 5.024
Y 6.144 6.654 1.926
Y 7.790 8.088 4.923
Hg 3.574 6.107 3.708
Hg 5.712 3.548 2.164
N 0.000 0.000 0.000
N 3.007 0.000 0.000
```

=====

(5)
Ta2ZnMo | GGA-PBE | relaxed

## Properties
E: -8.89 eV per atom
Calculated volume: 133.8 Å³/cell
Space group: C2/m
Formation energy from the elements: 0.266 eV per formula unit

extended XYZ file:
```
8
Lattice="5.657 0.000 0.000 0.000 9.053 0.000 -0.837 0.000 2.613" Properties=species:S:1:pos:R:3 pbc="T T T"
Ta 1.414 2.263 0.000
Ta 1.414 6.790 0.000
Ta 4.243 2.263 0.000
Ta 4.243 6.790 0.000
Zn -0.419 0.000 1.307
Zn 2.410 4.527 1.307
Mo -0.419 4.527 1.307
Mo 2.410 0.000 1.307
```

=====

(6)
BPRhAu | GGA-PBE | relaxed

## Properties
E: -5.68 eV per atom
Calculated volume: 110.4 Å³/cell
Space group: Imm2
Relative energy among the computed polymorphs: 19 kJ/mol of formula units
Formation energy from the elements: -0.023 eV per formula unit

extended XYZ file:
```
8
Lattice="2.957 0.000 0.000 0.000 3.089 0.000 0.000 0.000 12.092" Properties=species:S:1:pos:R:3 pbc="T T T"
B 0.000 0.000 0.000
B 1.479 1.544 6.046
P 0.000 1.544 7.311
P 1.479 0.000 1.265
Rh 0.000 0.000 5.298
Rh 1.479 1.544 11.344
Au 0.000 0.000 9.301
Au 1.479 1.544 3.255
```

=====

(7)
KAcP2Pd2 | GGA-PBE | relaxed

## Properties
E: -5.24 eV per atom
Calculated volume: 143.9 Å³/cell
Space group: P-3m1
Formation energy from the elements: -5.024 eV per formula unit

extended XYZ file:
```
6
Lattice="4.183 0.000 0.000 -2.091 3.622 0.000 0.000 0.000 9.494" Properties=species:S:1:pos:R:3 pbc="T T T"
K 0.000 0.000 0.000
Ac 0.000 0.000 4.747
P 0.000 2.415 6.857
P 2.091 1.207 2.637
Pd 0.000 2.415 2.480
Pd 2.091 1.207 7.014
```

=====

(8)
TbSm4Th3Se8 | GGA-PBE | relaxed

## Properties
E: -6.30 eV per atom
Calculated volume: 411.6 Å³/cell
Space group: R-3m
Formation energy without anion corrections: -1.700 eV per atom

extended XYZ file:
```
16
Lattice="4.146 2.394 6.912 -4.146 2.394 6.912 0.000 -4.787 6.912" Properties=species:S:1:pos:R:3 pbc="T T T"
Tb 0.000 0.000 0.000
Sm -4.146 0.000 10.369
Sm -2.073 1.197 3.456
Sm 2.073 1.197 3.456
Sm 0.000 0.000 10.369
Th -2.073 -1.197 6.912
Th -2.073 1.197 13.825
Th 0.000 2.394 6.912
Se -2.107 -1.216 12.088
Se 0.000 0.000 5.140
Se 0.000 -2.433 8.649
Se -2.107 1.216 8.649
Se 2.107 -1.216 12.088
Se 0.000 2.433 12.088
Se 0.000 0.000 15.597
Se 2.107 1.216 8.649
```

=====

Question: What is the calculated volume in the seventh record?
Answer: 143.9 Å³/cell

=====

Question: Which of these has the lowest E?
Answer: Ta2ZnMo

=====

Question: Which formula does entry 1 have?
Answer: Sm2TcNi3P4